(1)
A plane-wave DFT calculation with PBE was carried out for an optimized crystal structure of Cd3Ga2Hg8.

## Properties
* total DFT energy (no corrections): -0.0301 Ha/atom
* SG: P2/m, No. 10
* D(E_F): 0.393 states/eV per atom
* total magnetization: 0.00 μB/cell

Unit cell a=8.474 b=3.568 c=11.681 alpha=90.00 beta=110.53 gamma=90.00
Fractional coordinates of all 13 atoms:
Cd: 0.000 0.000 0.000
Cd: 0.230 0.500 0.243
Cd: 0.770 0.500 0.757
Ga: 0.265 0.000 0.713
Ga: 0.735 0.000 0.287
Hg: 0.096 0.000 0.409
Hg: 0.166 0.500 0.865
Hg: 0.410 0.000 0.097
Hg: 0.411 0.500 0.586
Hg: 0.589 0.500 0.414
Hg: 0.590 0.000 0.903
Hg: 0.834 0.500 0.135
Hg: 0.904 0.000 0.591



(2)
A plane-wave DFT calculation with PBE was carried out for an optimized crystal structure of Cd2Ga2Hg3.

## Properties
* total DFT energy (no corrections): -0.0440 Ha/atom
* SG: P-1, No. 2
* D(E_F): 0.321 states/eV per atom
* total magnetization: 0.00 μB/cell

Unit cell a=4.662 b=4.887 c=7.539 alpha=83.15 beta=89.79 gamma=85.01
Fractional coordinates of all 7 atoms:
Cd: 0.244 0.006 0.128
Cd: 0.756 0.994 0.872
Ga: 0.226 0.522 0.392
Ga: 0.774 0.478 0.608
Hg: 0.256 0.541 0.845
Hg: 0.500 0.000 0.500
Hg: 0.744 0.459 0.155



(3)
A plane-wave DFT calculation with PBE was carried out for an optimized crystal structure of Cd2Ga2Hg.

## Properties
* SG: I4/mmm, No. 139
* D(E_F): 0.540 states/eV per atom
* total magnetization: 0.00 μB/cell
* offset from the most stable computed form: 54 meV/atom

Unit cell a=6.891 b=6.891 c=6.891 alpha=142.86 beta=142.86 gamma=53.54
Fractional coordinates of all 5 atoms:
Cd: 0.250 0.750 0.500
Cd: 0.750 0.250 0.500
Ga: 0.101 0.101 0.000
Ga: 0.899 0.899 0.000
Hg: 0.500 0.500 0.000